1.
Material: Sr3InAg6Hg2
Method: DFT, PBE
State: optimized geometry

Cell: 6.102 6.102 9.531 Å, 90.00 90.00 120.00°
Sites, in units of the cell vectors:
Sr1 0.000 0.000 0.000
Sr2 0.333 0.667 0.604
Sr3 0.667 0.333 0.396
In1 0.000 0.000 0.500
Ag1 0.178 0.356 0.270
Ag2 0.178 0.822 0.270
Ag3 0.356 0.178 0.730
Ag4 0.644 0.822 0.270
Ag5 0.822 0.178 0.730
Ag6 0.822 0.644 0.730
Hg1 0.333 0.667 0.977
Hg2 0.667 0.333 0.023

* formation energy from the elements: -0.209 eV/atom
* energy: -2.3337 eV/atom

***

2.
Material: Sr2InAgHg6
Method: DFT, PBE
State: optimized geometry

Cell: 7.737 7.737 7.737 Å, 60.00 60.00 60.00°
Sites, in units of the cell vectors:
Sr1 0.250 0.250 0.250
Sr2 0.750 0.750 0.750
In1 0.000 0.000 0.000
Ag1 0.500 0.500 0.500
Hg1 0.254 0.254 0.746
Hg2 0.254 0.746 0.254
Hg3 0.254 0.746 0.746
Hg4 0.746 0.254 0.254
Hg5 0.746 0.254 0.746
Hg6 0.746 0.746 0.254

* formation energy from the elements: -0.086 eV/atom
* energy: -1.1621 eV/atom

***

3.
Material: Sr2In6AgHg
Method: DFT, PBE
State: optimized geometry

Cell: 13.692 13.692 13.692 Å, 31.03 31.03 31.03°
Sites, in units of the cell vectors:
Sr1 0.105 0.105 0.105
Sr2 0.280 0.280 0.280
Sr3 0.720 0.720 0.720
Sr4 0.895 0.895 0.895
In1 0.073 0.666 0.666
In2 0.225 0.225 0.642
In3 0.225 0.642 0.225
In4 0.334 0.334 0.927
In5 0.334 0.927 0.334
In6 0.358 0.775 0.775
In7 0.642 0.225 0.225
In8 0.666 0.073 0.666
In9 0.666 0.666 0.073
In10 0.775 0.358 0.775
In11 0.775 0.775 0.358
In12 0.927 0.334 0.334
Ag1 0.000 0.000 0.000
Ag2 0.500 0.500 0.500
Hg1 0.426 0.426 0.426
Hg2 0.574 0.574 0.574

* formation energy from the elements: -0.148 eV/atom
* energy: -2.4427 eV/atom

***

4.
Material: TbInAgHg
Method: DFT, PBE
State: optimized geometry

Cell: 7.156 7.156 7.156 Å, 90.00 90.00 90.00°
Sites, in units of the cell vectors:
Tb1 0.000 0.000 0.000
Tb2 0.000 0.500 0.500
Tb3 0.500 0.000 0.500
Tb4 0.500 0.500 0.000
In1 0.000 0.000 0.500
In2 0.000 0.500 0.000
In3 0.500 0.000 0.000
In4 0.500 0.500 0.500
Ag1 0.250 0.250 0.250
Ag2 0.250 0.750 0.750
Ag3 0.750 0.250 0.750
Ag4 0.750 0.750 0.250
Hg1 0.250 0.250 0.750
Hg2 0.250 0.750 0.250
Hg3 0.750 0.250 0.250
Hg4 0.750 0.750 0.750

* formation energy from the elements: -0.350 eV/atom
* energy: -2.9804 eV/atom

***

5.
Material: Tb4InAgHg2
Method: DFT, PBE
State: optimized geometry

Cell: 9.152 9.152 9.152 Å, 33.42 33.42 33.42°
Sites, in units of the cell vectors:
Tb1 0.122 0.122 0.122
Tb2 0.373 0.373 0.373
Tb3 0.627 0.627 0.627
Tb4 0.878 0.878 0.878
In1 0.500 0.500 0.500
Ag1 0.000 0.000 0.000
Hg1 0.249 0.249 0.249
Hg2 0.751 0.751 0.751

* formation energy from the elements: -0.427 eV/atom
* energy: -3.5165 eV/atom

***

6.
Material: Tb4InAg2Hg
Method: DFT, PBE
State: optimized geometry

Cell: 9.082 9.082 9.082 Å, 33.60 33.60 33.60°
Sites, in units of the cell vectors:
Tb1 0.123 0.123 0.123
Tb2 0.373 0.373 0.373
Tb3 0.627 0.627 0.627
Tb4 0.877 0.877 0.877
In1 0.500 0.500 0.500
Ag1 0.247 0.247 0.247
Ag2 0.753 0.753 0.753
Hg1 0.000 0.000 0.000

* formation energy from the elements: -0.397 eV/atom
* energy: -3.8050 eV/atom

***

7.
Material: InTcAgHg2
Method: DFT, PBE
State: optimized geometry

Cell: 5.250 5.250 5.134 Å, 90.00 90.00 90.00°
Sites, in units of the cell vectors:
In1 0.000 0.000 0.000
Tc1 0.000 0.000 0.500
Ag1 0.500 0.500 0.000
Hg1 0.000 0.500 0.500
Hg2 0.500 0.000 0.500

* formation energy from the elements: 0.789 eV/atom
* energy: -2.5230 eV/atom

***

8.
Material: InAgHgTe
Method: DFT, PBE
State: optimized geometry

Cell: 7.499 7.499 7.499 Å, 90.00 90.00 90.00°
Sites, in units of the cell vectors:
In1 0.000 0.000 0.000
In2 0.000 0.500 0.500
In3 0.500 0.000 0.500
In4 0.500 0.500 0.000
Ag1 0.000 0.000 0.500
Ag2 0.000 0.500 0.000
Ag3 0.500 0.000 0.000
Ag4 0.500 0.500 0.500
Hg1 0.250 0.250 0.750
Hg2 0.250 0.750 0.250
Hg3 0.750 0.250 0.250
Hg4 0.750 0.750 0.750
Te1 0.250 0.250 0.250
Te2 0.250 0.750 0.750
Te3 0.750 0.250 0.750
Te4 0.750 0.750 0.250

* E_form (uncorrected): 0.015 eV/atom
* energy: -2.2429 eV/atom

***

9.
Material: In2AgHgTe4
Method: DFT, PBE
State: optimized geometry

Cell: 8.130 8.076 6.742 Å, 65.84 65.00 49.16°
Sites, in units of the cell vectors:
In1 0.000 0.000 0.500
In2 0.500 0.500 0.000
Ag1 0.249 0.249 0.751
Hg1 0.750 0.750 0.250
Te1 0.123 0.614 0.386
Te2 0.371 0.880 0.629
Te3 0.614 0.123 0.877
Te4 0.880 0.371 0.120

* E_form (uncorrected): -0.216 eV/atom
* energy: -2.8655 eV/atom

***

10.
Material: InAg2HgTe4
Method: DFT, PBE
State: optimized geometry

Cell: 6.505 6.505 13.019 Å, 90.00 90.00 90.00°
Sites, in units of the cell vectors:
In1 0.000 0.000 0.000
In2 0.500 0.500 0.500
Ag1 0.000 0.000 0.500
Ag2 0.000 0.500 0.250
Ag3 0.500 0.000 0.750
Ag4 0.500 0.500 0.000
Hg1 0.000 0.500 0.750
Hg2 0.500 0.000 0.250
Te1 0.240 0.252 0.375
Te2 0.248 0.740 0.125
Te3 0.252 0.760 0.625
Te4 0.260 0.248 0.875
Te5 0.740 0.752 0.875
Te6 0.748 0.240 0.625
Te7 0.752 0.260 0.125
Te8 0.760 0.748 0.375

* E_form (uncorrected): -0.171 eV/atom
* energy: -2.8350 eV/atom

***

11.
Material: InAgHgTe
Method: DFT, PBE
State: optimized geometry

Cell: 13.222 13.222 13.222 Å, 20.14 20.14 20.14°
Sites, in units of the cell vectors:
In1 0.097 0.097 0.097
In2 0.903 0.903 0.903
Ag1 0.313 0.313 0.313
Ag2 0.687 0.687 0.687
Hg1 0.191 0.191 0.191
Hg2 0.809 0.809 0.809
Te1 0.386 0.386 0.386
Te2 0.614 0.614 0.614

* E_form (uncorrected): -0.077 eV/atom
* energy: -2.3355 eV/atom

***

12.
Material: TiInAgHg
Method: DFT, PBE
State: optimized geometry

Cell: 6.804 6.804 6.804 Å, 90.00 90.00 90.00°
Sites, in units of the cell vectors:
Ti1 0.000 0.000 0.000
Ti2 0.000 0.500 0.500
Ti3 0.500 0.000 0.500
Ti4 0.500 0.500 0.000
In1 0.250 0.250 0.750
In2 0.250 0.750 0.250
In3 0.750 0.250 0.250
In4 0.750 0.750 0.750
Ag1 0.000 0.000 0.500
Ag2 0.000 0.500 0.000
Ag3 0.500 0.000 0.000
Ag4 0.500 0.500 0.500
Hg1 0.250 0.250 0.250
Hg2 0.250 0.750 0.750
Hg3 0.750 0.250 0.750
Hg4 0.750 0.750 0.250

* formation energy from the elements: 0.085 eV/atom
* energy: -3.3619 eV/atom